Below is a relaxed structure of Sr2SbTe2O2, with properties calculated at the PBE level.

Values from the calculation:
The calculation puts the formation energy without anion corrections at -1.63 eV/atom. The calculation puts the theoretical density at 5.38 g/cm³. The density of states at the Fermi level is 0.217 states/eV/atom. For the electronic total energy, the calculation gives -5.009 eV per atom.

abc: 4.1156 6.7248 7.5717
angles: 66.64 74.23 72.18
Sites, in units of the cell vectors:
Sr1 0.7943 0.6367 0.7748
Sr2 0.2057 0.3633 0.2252
Te1 0.5492 0.2158 0.6857
Te2 0.4508 0.7842 0.3143
Sb1 0.0000 0.0000 0.0000
O1 0.1839 0.7039 0.9283
O2 0.8161 0.2961 0.0717